Record 1
The following is a PBEsol calculation of a relaxed PdPtCl2 crystal, from Alexandria via LeMat-Bulk.

Output
**Fermi-level density of states**: 4.7 states/eV/f.u.
**Raw formation energy**: 67 kJ/mol of formula units

abc: 8.3347 8.3347 8.3347
angles: 21.68 21.68 21.68
Closest atoms and distances in Å follow each position.
Atoms (fractional coordinates):
Pd 0.0000 0.0000 0.0000  6 Cl 2.56
Pt 0.5000 0.5000 0.5000  2 Cl 2.26
Cl 0.4075 0.4075 0.4075  1 Pt 2.26
Cl 0.5925 0.5925 0.5925  1 Pt 2.26

---

Record 2
The following is a PBEsol calculation of a relaxed La4Al51W7 crystal, from Alexandria via LeMat-Bulk.

Output
**Fermi-level density of states**: 18.6 states/eV/f.u.
**ΔH_f (0 K)**: -19.3 kJ per mole of atoms

abc: 10.3764 10.3764 11.6530
angles: 90.00 90.00 120.00
Closest atoms and distances in Å follow each position.
Atoms (fractional coordinates):
La 0.3333 0.6667 0.0935  15 Al 3.19-3.26
La 0.3333 0.6667 0.4211  15 Al 3.17-3.42
La 0.6667 0.3333 0.5789  15 Al 3.17-3.42
La 0.6667 0.3333 0.9065  15 Al 3.19-3.26
Al 0.0000 0.3679 0.5000  2 W 2.64, 5 Al 2.67-2.75
Al 0.0000 0.5000 0.0000  12 Al 3.08-3.25, 2 La 3.19
Al 0.0000 0.6321 0.5000  2 W 2.64, 5 Al 2.67-2.75
Al 0.0706 0.4010 0.2456  6 Al 2.70-2.98, 1 W 2.71
Al 0.0706 0.6696 0.2456  6 Al 2.70-2.98, 1 W 2.71
Al 0.0911 0.1823 0.8300  2 W 2.47-2.57, 2 Al 2.74-2.76
Al 0.0911 0.9089 0.8300  2 W 2.47-2.57, 2 Al 2.74-2.76
Al 0.0933 0.1866 0.4028  2 W 2.71, 8 Al 2.75-2.98
Al 0.0933 0.9067 0.4028  2 W 2.71, 8 Al 2.75-2.98
Al 0.1556 0.3113 0.0447  8 Al 2.67-2.99, 1 W 2.85
Al 0.1557 0.5778 0.6564  2 W 2.57, 8 Al 2.67-2.86
Al 0.1556 0.8444 0.0447  8 Al 2.67-2.99, 1 W 2.85
Al 0.1823 0.0911 0.1700  2 W 2.47-2.57, 2 Al 2.74-2.76
Al 0.1866 0.0933 0.5972  2 W 2.71, 8 Al 2.75-2.98
Al 0.2427 0.4853 0.8585  6 Al 2.67-2.86, 1 W 2.72
Al 0.2427 0.7573 0.8585  6 Al 2.67-2.86, 1 W 2.72
Al 0.3113 0.1556 0.9553  8 Al 2.67-2.99, 1 W 2.85
Al 0.3304 0.4010 0.2456  6 Al 2.70-2.98, 1 W 2.71
Al 0.3304 0.9294 0.2456  6 Al 2.70-2.98, 1 W 2.71
Al 0.3679 0.0000 0.5000  2 W 2.64, 5 Al 2.67-2.75
Al 0.3679 0.3679 0.5000  2 W 2.64, 5 Al 2.67-2.75
Al 0.4010 0.0706 0.7544  6 Al 2.70-2.98, 1 W 2.71
Al 0.4010 0.3304 0.7544  6 Al 2.70-2.98, 1 W 2.71
Al 0.4222 0.5778 0.6564  2 W 2.57, 8 Al 2.67-2.86
Al 0.4222 0.8443 0.6564  2 W 2.57, 8 Al 2.67-2.86
Al 0.4853 0.2427 0.1415  6 Al 2.67-2.86, 1 W 2.72
Al 0.5000 0.0000 0.0000  12 Al 3.08-3.25, 2 La 3.19
Al 0.5000 0.5000 0.0000  12 Al 3.08-3.25, 2 La 3.19
Al 0.5147 0.7573 0.8585  6 Al 2.67-2.86, 1 W 2.72
Al 0.5778 0.1557 0.3436  2 W 2.57, 8 Al 2.67-2.86
Al 0.5778 0.4222 0.3436  2 W 2.57, 8 Al 2.67-2.86
Al 0.5990 0.6696 0.2456  6 Al 2.70-2.98, 1 W 2.71
Al 0.5990 0.9294 0.2456  6 Al 2.70-2.98, 1 W 2.71
Al 0.6321 0.0000 0.5000  2 W 2.64, 5 Al 2.67-2.75
Al 0.6321 0.6321 0.5000  2 W 2.64, 5 Al 2.67-2.75
Al 0.6696 0.0706 0.7544  6 Al 2.70-2.98, 1 W 2.71
Al 0.6696 0.5990 0.7544  6 Al 2.70-2.98, 1 W 2.71
Al 0.6887 0.8444 0.0447  8 Al 2.67-2.99, 1 W 2.85
Al 0.7573 0.2427 0.1415  6 Al 2.67-2.86, 1 W 2.72
Al 0.7573 0.5147 0.1415  6 Al 2.67-2.86, 1 W 2.72
Al 0.8134 0.9067 0.4028  2 W 2.71, 8 Al 2.75-2.98
Al 0.8177 0.9089 0.8300  2 W 2.47-2.57, 2 Al 2.74-2.76
Al 0.8444 0.1556 0.9553  8 Al 2.67-2.99, 1 W 2.85
Al 0.8443 0.4222 0.3436  2 W 2.57, 8 Al 2.67-2.86
Al 0.8444 0.6887 0.9553  8 Al 2.67-2.99, 1 W 2.85
Al 0.9067 0.0933 0.5972  2 W 2.71, 8 Al 2.75-2.98
Al 0.9067 0.8134 0.5972  2 W 2.71, 8 Al 2.75-2.98
Al 0.9089 0.0911 0.1700  2 W 2.47-2.57, 2 Al 2.74-2.76
Al 0.9089 0.8177 0.1700  2 W 2.47-2.57, 2 Al 2.74-2.76
Al 0.9294 0.3304 0.7544  6 Al 2.70-2.98, 1 W 2.71
Al 0.9294 0.5990 0.7544  6 Al 2.70-2.98, 1 W 2.71
W 0.0000 0.0000 0.0000  12 Al 2.57-2.85
W 0.1687 0.3374 0.6546  10 Al 2.47-2.72
W 0.1687 0.8313 0.6546  10 Al 2.47-2.72
W 0.3374 0.1687 0.3454  10 Al 2.47-2.72
W 0.6626 0.8313 0.6546  10 Al 2.47-2.72
W 0.8313 0.1687 0.3454  10 Al 2.47-2.72
W 0.8313 0.6626 0.3454  10 Al 2.47-2.72

---

Record 3
The following is a PBEsol calculation of a relaxed Zr4CoRe crystal, from Alexandria via LeMat-Bulk.

Output
**Fermi-level density of states**: 9.1 states/eV/f.u.
**ΔH_f (0 K)**: 78.8 kJ per mole of atoms

abc: 5.4215 5.4215 5.4215
angles: 60.00 60.00 60.00
Closest atoms and distances in Å follow each position.
Atoms (fractional coordinates):
Zr 0.1242 0.1242 0.1242  6 Zr 2.69-2.73
Zr 0.1242 0.1242 0.6274  6 Zr 2.69-2.73
Zr 0.1242 0.6274 0.1242  6 Zr 2.69-2.73
Zr 0.6274 0.1242 0.1242  6 Zr 2.69-2.73
Co 0.5000 0.5000 0.5000  12 Zr 3.18, 4 Re 3.32
Re 0.7500 0.7500 0.7500  12 Zr 3.18, 4 Co 3.32

---

Record 4
The following is a PBEsol calculation of a relaxed CdBi3Pd crystal, from Alexandria via LeMat-Bulk.

Output
**Fermi-level density of states**: 4.2 states/eV/f.u.
**ΔH_f (0 K)**: 94.3 kJ per mole of atoms

abc: 5.4733 5.4733 5.4733
angles: 90.00 90.00 90.00
Closest atoms and distances in Å follow each position.
Atoms (fractional coordinates):
Cd 0.0000 0.0000 0.0000  6 Bi 2.74
Bi 0.0000 0.0000 0.5000  2 Cd 2.74
Bi 0.0000 0.5000 0.0000  2 Cd 2.74
Bi 0.5000 0.0000 0.0000  2 Cd 2.74
Pd 0.5000 0.5000 0.5000  12 Bi 3.87